Record 1
## CsPtN2F (GGA-PBE)

Data for a relaxed structure of CsPtN2F.

a b c (Å): 4.776 4.776 5.002
angles (deg): 90.00 90.00 90.00
Space group P4/mmm (No. 123)
One atom of each set of equivalent atoms:
Cs1 0.000 0.000 0.000
Pt1 0.500 0.500 0.500
N1 0.000 0.500 0.000
F1 0.000 0.000 0.500

- ΔE_f (raw): 2384 meV/atom

Record 2
## TlSi2Ge2 (GGA-PBE)

Data for a relaxed structure of TlSi2Ge2.

a b c (Å): 7.904 7.904 3.468
angles (deg): 90.00 90.00 90.00
Space group P4/mbm (No. 127)
One atom of each set of equivalent atoms:
Tl1 0.000 0.000 0.000
Si1 0.117 0.383 0.000
Ge1 0.137 0.637 0.500

- ΔE_f (raw): 380 meV/atom

Record 3
## AsPb2Au (GGA-PBE)

Data for a relaxed structure of AsPb2Au.

a b c (Å): 3.724 3.724 7.425
angles (deg): 90.00 90.00 90.00
Space group P4mm (No. 99)
One atom of each set of equivalent atoms:
As1 0.000 0.000 0.000
Pb1 0.000 0.000 0.405
Pb2 0.500 0.500 0.777
Au1 0.500 0.500 0.186

- Calculated formation energy: 0.2 eV/f.u.

Record 4
## Lu2CoNi (GGA-PBE)

Data for a relaxed structure of Lu2CoNi.

a b c (Å): 6.554 6.554 6.554
angles (deg): 90.00 90.00 90.00
Space group Fm-3m (No. 225)
One atom of each set of equivalent atoms:
Lu1 0.250 0.250 0.250
Co1 0.000 0.000 0.000
Ni1 0.000 0.000 0.500

- Calculated formation energy: -1.5 eV/f.u.

Record 5
## Li2MnRu (GGA-PBE)

Data for a relaxed structure of Li2MnRu.

a b c (Å): 2.719 3.718 5.648
angles (deg): 90.00 90.00 90.00
Space group Pmm2 (No. 25)
One atom of each set of equivalent atoms:
Li1 0.000 0.000 0.000
Li2 0.500 0.500 0.243
Mn1 0.000 0.000 0.542
Ru1 0.500 0.500 0.711

- Calculated formation energy: 0.7 eV/f.u.

Record 6
## MgZn3 (GGA-PBE)

Data for a relaxed structure of MgZn3.

a b c (Å): 3.091 4.342 5.195
angles (deg): 90.00 93.58 90.00
Space group P2/m (No. 10)
One atom of each set of equivalent atoms:
Mg1 0.000 0.000 0.000
Zn1 0.482 0.500 0.755
Zn2 0.500 0.000 0.500

- Calculated formation energy: -0.1 eV/f.u.

Record 7
## TbPmSm5Y2 (GGA-PBE)

Data for a relaxed structure of TbPmSm5Y2.

a b c (Å): 5.678 20.261 10.692
angles (deg): 90.00 90.00 90.00
Space group Cmc2_1 (No. 36)
One atom of each set of equivalent atoms:
Tb1 0.000 0.088 0.000
Pm1 0.000 0.297 0.553
Sm1 0.000 0.021 0.285
Sm2 0.000 0.106 0.569
Sm3 0.000 0.202 0.248
Sm4 0.000 0.218 0.852
Sm5 0.000 0.482 0.568
Y1 0.000 0.384 0.866
Y2 0.000 0.390 0.279

- Calculated formation energy: 1.3 eV/f.u.

Record 8
## Pm7Tl2Pd2 (GGA-PBE)

Data for a relaxed structure of Pm7Tl2Pd2.

a b c (Å): 8.348 11.421 7.291
angles (deg): 90.00 90.00 90.00
Space group Cmmm (No. 65)
One atom of each set of equivalent atoms:
Pm1 0.000 0.000 0.000
Pm2 0.000 0.500 0.247
Pm3 0.250 0.250 0.256
Tl1 0.176 0.000 0.500
Pd1 0.000 0.290 0.000

- Calculated formation energy: -3.2 eV/f.u.

Record 9
## Cs2K4InAs2 (GGA-PBE)

Data for a relaxed structure of Cs2K4InAs2.

a b c (Å): 16.079 8.804 5.757
angles (deg): 90.00 110.93 90.00
Space group C2/m (No. 12)
One atom of each set of equivalent atoms:
Cs1 0.139 0.000 0.140
K1 0.138 0.293 0.639
In1 0.000 0.500 0.000
As1 0.189 0.500 0.189

- Calculated formation energy: -1.7 eV/f.u.

Record 10
## YHfTl3 (GGA-PBE)

Data for a relaxed structure of YHfTl3.

a b c (Å): 5.478 5.478 5.478
angles (deg): 90.00 90.00 90.00
Space group Pm-3m (No. 221)
One atom of each set of equivalent atoms:
Y1 0.000 0.000 0.000
Hf1 0.500 0.500 0.500
Tl1 0.000 0.500 0.500

- Calculated formation energy: 2.2 eV/f.u.

Record 11
## ErGe2OsRu (GGA-PBE)

Data for a relaxed structure of ErGe2OsRu.

a b c (Å): 4.261 4.261 9.837
angles (deg): 90.00 90.00 90.00
Space group I-4m2 (No. 119)
One atom of each set of equivalent atoms:
Er1 0.000 0.000 0.000
Ge1 0.000 0.000 0.372
Os1 0.000 0.500 0.250
Ru1 0.000 0.500 0.750

- Calculated formation energy: -2.5 eV/f.u.

Record 12
## Ba2Ni2Pb (GGA-PBE)

Data for a relaxed structure of Ba2Ni2Pb.

a b c (Å): 6.227 6.227 7.722
angles (deg): 90.00 90.00 90.00
Space group I4/mmm (No. 139)
One atom of each set of equivalent atoms:
Ba1 0.000 0.500 0.250
Ni1 0.000 0.000 0.154
Pb1 0.000 0.000 0.500

- Calculated formation energy: 0.3 eV/f.u.

Record 13
## YBI2O (GGA-PBE)

Data for a relaxed structure of YBI2O.

a b c (Å): 5.686 5.686 3.353
angles (deg): 90.00 90.00 90.00
Space group P4/mmm (No. 123)
One atom of each set of equivalent atoms:
Y1 0.000 0.000 0.000
B1 0.500 0.500 0.500
I1 0.000 0.500 0.500
O1 0.500 0.500 0.000

- ΔE_f (raw): -141 meV/atom

Record 14
## BaHgSb2Pd (GGA-PBE)

Data for a relaxed structure of BaHgSb2Pd.

a b c (Å): 4.944 4.944 6.804
angles (deg): 90.00 90.00 90.00
Space group P4mm (No. 99)
One atom of each set of equivalent atoms:
Ba1 0.000 0.000 0.000
Hg1 0.500 0.500 0.092
Sb1 0.000 0.500 0.420
Pd1 0.000 0.000 0.551

- ΔE_f (raw): -385 meV/atom

Record 15
## Ru3CO (GGA-PBE)

Data for a relaxed structure of Ru3CO.

a b c (Å): 4.014 4.014 4.014
angles (deg): 90.00 90.00 90.00
Space group Pm-3m (No. 221)
One atom of each set of equivalent atoms:
Ru1 0.000 0.000 0.500
C1 0.000 0.000 0.000
O1 0.500 0.500 0.500

- ΔE_f (raw): 944 meV/atom

Record 16
## DyTl2Si2O6 (GGA-PBE)

Data for a relaxed structure of DyTl2Si2O6.

a b c (Å): 5.9357 5.9357 17.8054
angles (deg): 90.00 90.00 120.00
Space group R-3m (No. 166, hexagonal axes)
One atom of each set of equivalent atoms:
Dy1 0.0000 0.0000 0.0000
Tl1 0.0000 0.0000 0.2168
Si1 0.0000 0.0000 0.4263
O1 0.0252 0.5126 0.2587

- ΔE_f (raw): -2202 meV/atom

Record 17
## KLaP2S (GGA-PBE)

Data for a relaxed structure of KLaP2S.

a b c (Å): 5.055 5.055 5.240
angles (deg): 90.00 90.00 90.00
Space group P4/mmm (No. 123)
One atom of each set of equivalent atoms:
K1 0.000 0.000 0.000
La1 0.500 0.500 0.500
P1 0.000 0.500 0.000
S1 0.000 0.000 0.500

- ΔE_f (raw): 531 meV/atom

Record 18
## Cs3U3VTe8 (GGA-PBE)

Data for a relaxed structure of Cs3U3VTe8.

a b c (Å): 15.227 8.853 10.483
angles (deg): 90.00 118.75 90.00
Space group C2/m (No. 12)
One atom of each set of equivalent atoms:
Cs1 0.000 0.000 0.000
Cs2 0.250 0.250 0.000
U1 0.000 0.500 0.500
U2 0.250 0.250 0.500
V1 0.000 0.000 0.500
Te1 0.019 0.236 0.319
Te2 0.218 0.000 0.680
Te3 0.232 0.500 0.695

- ΔE_f (raw): -736 meV/atom

Record 19
## Dy4Y7Sc (GGA-PBE)

Data for a relaxed structure of Dy4Y7Sc.

a b c (Å): 5.932 6.898 9.960
angles (deg): 69.91 87.86 89.92
Space group P-1 (No. 2)
One atom of each set of equivalent atoms:
Dy1 0.233 0.365 0.231
Dy2 0.234 0.905 0.231
Y1 0.246 0.311 0.873
Y2 0.246 0.961 0.580
Y3 0.267 0.783 0.930
Y4 0.500 0.500 0.500
Sc1 0.000 0.500 0.500

- Calculated formation energy: 1.7 eV/f.u.

Record 20
## CsK2OsS (GGA-PBE)

Data for a relaxed structure of CsK2OsS.

a b c (Å): 6.968 6.968 5.762
angles (deg): 90.00 90.00 90.00
Space group P4/mmm (No. 123)
One atom of each set of equivalent atoms:
Cs1 0.000 0.000 0.000
K1 0.000 0.500 0.000
Os1 0.500 0.500 0.500
S1 0.000 0.000 0.500

- ΔE_f (raw): 1374 meV/atom